(1)
This record from Alexandria describes an optimized crystal structure of ZrMnNi2. The functional is PBE.

Results
density = 7.75 g/cm3
DFT formation energy = -0.844 eV/f.u.
total magnetic moment = 3.575 μB per formula unit

Geometry as POSCAR:
```
ZrMnNi2
1.0
-1.879 1.879 3.998
1.879 -1.879 3.998
1.879 1.879 -3.998
Zr Mn Ni
1 1 2
Cartesian
0.000 0.000 0.000
1.879 0.000 1.999
0.000 0.000 3.998
0.000 1.879 1.999
```

---

(2)
This record from Alexandria describes an optimized crystal structure of CaSm2Rh. The functional is PBE.

Results
density = 5.14 g/cm3
excess energy over the best structure of this formula in the dataset = 168 meV per atom
DFT formation energy = -0.933 eV/f.u.
total magnetic moment = 0.000 μB per formula unit

Geometry as POSCAR:
```
CaSm2Rh
1.0
1.968 1.136 10.691
-1.968 1.136 10.691
0.000 -2.272 10.691
Ca Sm Rh
1 2 1
Cartesian
0.000 0.000 0.000
0.000 0.000 3.743
0.000 0.000 28.330
0.000 0.000 16.036
```

---

(3)
This record from Alexandria describes an optimized crystal structure of Ce6SiIr. The functional is PBE.

Results
uncorrected energy = -0.474 Ry/atom
density = 8.24 g/cm3
total magnetic moment = 2.634 μB per formula unit

Geometry as POSCAR:
```
Ce6SiIr
1.0
3.785 -4.625 0.000
3.785 4.625 0.000
-1.583 0.000 6.107
Ce Si Ir
6 1 1
Cartesian
1.660 2.686 4.221
1.035 0.000 5.376
4.327 2.686 1.886
1.660 -2.686 4.221
4.953 0.000 0.731
4.327 -2.686 1.886
2.994 0.000 3.054
0.000 0.000 0.000
```

---

(4)
This record from Alexandria describes an optimized crystal structure of TaInBr. The functional is PBE.

Results
density = 8.23 g/cm3
excess energy over the best structure of this formula in the dataset = 931 meV per atom
total magnetic moment = 0.000 μB per formula unit

Geometry as POSCAR:
```
TaInBr
1.0
0.000 3.359 3.359
3.359 0.000 3.359
3.359 3.359 0.000
Ta In Br
1 1 1
Cartesian
0.000 0.000 0.000
5.038 5.038 5.038
1.679 1.679 1.679
```

---

(5)
This record from Alexandria describes an optimized crystal structure of NaLi2IBr2. The functional is PBE.

Results
uncorrected energy = -0.228 Ry/atom
density = 2.90 g/cm3
total magnetic moment = 0.000 μB per formula unit

Geometry as POSCAR:
```
NaLi2IBr2
1.0
7.050 -3.879 0.000
7.050 3.879 0.000
0.000 0.000 6.770
Na Li I Br
2 4 2 4
Cartesian
7.050 2.353 3.385
7.050 -2.353 0.000
4.505 1.201 6.280
4.505 -1.201 2.894
9.596 1.201 6.280
9.596 -1.201 2.894
7.050 2.274 0.125
7.050 -2.274 3.510
4.427 1.196 3.737
4.427 -1.196 0.352
9.674 1.196 3.737
9.674 -1.196 0.352
```

---

(6)
This record from Alexandria describes an optimized crystal structure of BaMgScAg2. The functional is PBE.

Results
density = 4.77 g/cm3
DFT formation energy = 1.462 eV/f.u.
total magnetic moment = 0.000 μB per formula unit

Geometry as POSCAR:
```
BaMgScAg2
1.0
5.211 0.000 0.000
0.000 5.211 0.000
0.000 0.000 5.410
Ba Mg Sc Ag
1 1 1 2
Cartesian
0.000 0.000 0.000
2.606 2.606 2.705
2.606 2.606 0.000
0.000 2.606 2.705
2.606 0.000 2.705
```

---

(7)
This record from Alexandria describes an optimized crystal structure of PrHo5Al6. The functional is PBE.

Results
density = 6.62 g/cm3
DFT formation energy = -4.616 eV/f.u.
total magnetic moment = 0.000 μB per formula unit

Geometry as POSCAR:
```
PrHo5Al6
1.0
-2.560 3.594 7.687
2.560 -3.594 7.687
2.560 3.594 -7.687
Pr Ho Al
1 5 6
Cartesian
0.000 0.000 0.000
2.560 0.000 2.503
0.000 0.000 5.092
0.000 3.594 0.000
0.000 0.000 10.283
0.000 3.594 5.184
2.560 -1.743 5.072
2.560 1.908 0.000
0.000 1.851 2.615
2.560 1.743 5.072
0.000 1.686 7.687
0.000 5.336 2.615
```

---

(8)
This record from Alexandria describes an optimized crystal structure of Zr2FeCo. The functional is PBE.

Results
density = 6.91 g/cm3
excess energy over the best structure of this formula in the dataset = 937 meV per atom
DFT formation energy = 2.787 eV/f.u.
total magnetic moment = 2.757 μB per formula unit

Geometry as POSCAR:
```
Zr2FeCo
1.0
-1.427 2.488 5.033
1.427 -2.488 5.033
1.427 2.488 -5.033
Zr Fe Co
2 1 1
Cartesian
0.000 0.000 2.414
0.000 0.000 7.651
0.000 0.000 5.033
0.000 0.000 0.000
```

---

(9)
This record from Alexandria describes an optimized crystal structure of HfZr2Pb. The functional is PBE.

Results
density = 9.85 g/cm3
excess energy over the best structure of this formula in the dataset = 83 meV per atom
DFT formation energy = -0.093 eV/f.u.
total magnetic moment = 0.000 μB per formula unit

Geometry as POSCAR:
```
HfZr2Pb
1.0
1.652 0.954 10.135
-1.652 0.954 10.135
0.000 -1.907 10.135
Hf Zr Pb
1 2 1
Cartesian
0.000 0.000 0.000
0.000 0.000 7.649
0.000 0.000 12.605
0.000 0.000 25.333
```

---

(10)
This record from Alexandria describes an optimized crystal structure of Ba3Mg4Hg2. The functional is PBE.

Results
density = 4.80 g/cm3
DFT formation energy = -1.856 eV/f.u.
total magnetic moment = 0.000 μB per formula unit

Geometry as POSCAR:
```
Ba3Mg4Hg2
1.0
5.932 -2.689 0.000
5.932 2.689 0.000
-2.171 0.000 9.869
Ba Mg Hg
3 4 2
Cartesian
0.000 0.000 0.000
3.846 0.000 2.998
5.847 0.000 6.871
0.400 0.000 4.244
1.380 0.000 9.153
8.313 0.000 0.716
9.293 0.000 5.625
2.366 0.000 6.486
7.327 0.000 3.383
```

---

(11)
This record from Alexandria describes an optimized crystal structure of LiCaCdSn2. The functional is PBE.

Results
density = 5.09 g/cm3
DFT formation energy = -1.954 eV/f.u.
total magnetic moment = 0.000 μB per formula unit

Geometry as POSCAR:
```
LiCaCdSn2
1.0
-2.274 2.274 6.266
2.274 -2.274 6.266
2.274 2.274 -6.266
Li Ca Cd Sn
1 1 1 2
Cartesian
0.000 0.000 0.000
0.000 2.274 3.133
0.000 0.000 6.266
2.274 0.000 1.735
2.274 0.000 4.532
```

---

(12)
This record from Alexandria describes an optimized crystal structure of Dy2Si3Pt12Rh. The functional is PBE.

Results
uncorrected energy = -0.460 Ry/atom
density = 13.66 g/cm3
total magnetic moment = 0.000 μB per formula unit

Geometry as POSCAR:
```
Dy2Si3Pt12Rh
1.0
4.101 2.368 5.953
-4.101 2.368 5.953
0.000 -4.736 5.953
Dy Si Pt Rh
2 3 12 1
Cartesian
0.000 0.000 1.923
0.000 0.000 15.937
-2.051 -1.184 5.953
-2.051 1.184 11.907
0.000 2.368 5.953
-2.136 -1.233 8.281
0.000 -2.184 5.292
-1.892 1.092 5.292
0.000 -2.467 9.579
-2.136 1.233 9.579
-1.892 -1.092 12.568
1.892 1.092 5.292
2.136 -1.233 8.281
0.000 2.467 8.281
1.892 -1.092 12.568
0.000 2.184 12.568
2.136 1.233 9.579
0.000 0.000 8.930
```